[1]
The following is a DFT calculation (SCAN) of a PBEsol-optimized structure of LiAl4Cr.

Geometry as extended XYZ:
```
6
Lattice="0.0000 3.6550 3.6550 3.6550 0.0000 3.6550 3.6550 3.6550 0.0000" Properties=species:S:1:pos:R:3 pbc="T T T"
Li 0.0000 0.0000 0.0000
Al 4.5656 2.7445 2.7445
Al 2.7445 4.5656 2.7445
Al 2.7445 2.7445 4.5656
Al 4.5656 4.5656 4.5656
Cr 1.8275 1.8275 1.8275
```

Summary:
D(E_F) = 2.06 states/eV/f.u.
formation energy = 0.009 eV per atom
calculated volume = 98 Å³/cell


[2]
The following is a DFT calculation (SCAN) of a PBEsol-optimized structure of LiAlCr4.

Geometry as extended XYZ:
```
6
Lattice="0.0000 3.3483 3.3483 3.3483 0.0000 3.3483 3.3483 3.3483 0.0000" Properties=species:S:1:pos:R:3 pbc="T T T"
Li 0.0000 0.0000 0.0000
Al 5.0224 5.0224 5.0224
Cr 2.5002 2.5002 2.5002
Cr 4.1963 4.1963 2.5002
Cr 4.1963 2.5002 4.1963
Cr 2.5002 4.1963 4.1963
```

Summary:
D(E_F) = 6.82 states/eV/f.u.
formation energy = 0.376 eV per atom
calculated volume = 75 Å³/cell


[3]
The following is a DFT calculation (SCAN) of a PBEsol-optimized structure of LiAlCrO4.

Geometry as extended XYZ:
```
28
Lattice="9.2743 0.0000 0.0000 0.0000 2.8441 0.0000 0.0000 0.0000 9.8918" Properties=species:S:1:pos:R:3 pbc="T T T"
Li 0.9476 0.7110 1.3519
Li 3.6896 2.1331 6.2978
Li 5.5847 0.7110 3.5940
Li 8.3267 2.1331 8.5399
Al 0.0339 2.1331 3.6962
Al 4.6033 0.7110 8.6421
Al 4.6710 2.1331 1.2497
Al 9.2404 0.7110 6.1956
Cr 2.0172 2.1331 8.4681
Cr 2.6200 0.7110 3.5222
Cr 6.6543 2.1331 6.3696
Cr 7.2572 0.7110 1.4237
O 0.7251 2.1331 7.1281
O 0.9814 0.7110 4.6108
O 1.2974 0.7110 9.3679
O 1.5825 2.1331 2.5735
O 3.0546 0.7110 7.5194
O 3.3398 2.1331 4.4220
O 3.6557 2.1331 9.5567
O 3.9120 0.7110 2.1822
O 5.3623 2.1331 7.7096
O 5.6186 0.7110 0.3351
O 5.9346 0.7110 5.4698
O 6.2197 2.1331 2.3724
O 7.6918 0.7110 7.3183
O 7.9769 2.1331 0.5239
O 8.2929 2.1331 5.2810
O 8.5492 0.7110 2.7637
```

Summary:
energy relative to the elements, uncorrected = -2.6482 eV/atom
calculated volume = 261 Å³/cell


[4]
The following is a DFT calculation (SCAN) of a PBEsol-optimized structure of Li2TaAlCr.

Geometry as extended XYZ:
```
5
Lattice="4.0631 0.0000 0.0000 0.0000 4.0631 0.0000 0.0000 0.0000 4.5362" Properties=species:S:1:pos:R:3 pbc="T T T"
Li 0.0000 2.0315 0.0000
Li 2.0315 0.0000 0.0000
Ta 0.0000 0.0000 2.2681
Al 2.0315 2.0315 0.0000
Cr 2.0315 2.0315 2.2681
```

Summary:
D(E_F) = 2.90 states/eV/f.u.
formation energy = 1.101 eV per atom
calculated volume = 75 Å³/cell


[5]
The following is a DFT calculation (SCAN) of a PBEsol-optimized structure of MgAl2Cr.

Geometry as extended XYZ:
```
4
Lattice="2.7064 0.0000 0.0000 0.0000 2.7064 0.0000 0.0000 0.0000 8.4413" Properties=species:S:1:pos:R:3 pbc="T T T"
Mg 0.0000 0.0000 0.0000
Al 0.0000 0.0000 4.5535
Al 1.3532 1.3532 2.3977
Cr 1.3532 1.3532 6.3520
```

Summary:
D(E_F) = 2.90 states/eV/f.u.
formation energy = 0.230 eV per atom
calculated volume = 62 Å³/cell


[6]
The following is a DFT calculation (SCAN) of a PBEsol-optimized structure of MgAlCr.

Geometry as extended XYZ:
```
3
Lattice="0.0000 2.0625 6.4850 1.6834 0.0000 6.4850 1.6834 2.0625 0.0000" Properties=species:S:1:pos:R:3 pbc="T T T"
Mg 0.0000 0.0000 0.0000
Al 1.6834 2.0625 8.9413
Cr 1.6834 2.0625 4.3351
```

Summary:
D(E_F) = 1.55 states/eV/f.u.
formation energy = 0.255 eV per atom
calculated volume = 45 Å³/cell
E above lowest polymorph = 0 meV/atom


Question: What is the calculated volume in the first record?
Answer: 98 Å³/cell


Question: Number 1 is which compound?
Answer: LiAl4Cr


Question: calculated volume of number 1 (LiAl4Cr)?
Answer: 98 Å³/cell


Question: Which of these has the highest calculated volume?
Answer: LiAlCrO4